[1]
! Sr2Zn6GaNi, relaxed, DFT GGA-PBE; values from VASP
&SYSTEM
  ibrav = 0, nat = 10, ntyp = 4
/
ATOMIC_SPECIES
Sr 87.62 Sr.upf
Zn 65.41 Zn.upf
Ga 69.72 Ga.upf
Ni 58.69 Ni.upf
ATOMIC_POSITIONS crystal
Sr 0.7961 0.3874 0.4076
Sr 0.2039 0.6126 0.5924
Zn 0.2410 0.1404 0.5158
Zn 0.7564 0.8597 0.8994
Zn 0.3442 0.8596 0.8975
Zn 0.6558 0.1404 0.1025
Zn 0.2436 0.1403 0.1006
Zn 0.7590 0.8596 0.4842
Ga 0.5000 0.5000 0.0000
Ni 0.0000 0.0000 0.0000
CELL_PARAMETERS angstrom
6.5442 -0.0023 0.0022
0.0041 6.8113 -0.1954
3.2750 3.2558 4.6315
! ΔH_f (0 K) ... -0.22 eV/atom
! N(E_F) ... 4.49 states/eV per cell
! Calculated total energy ... -2.198 eV per atom



[2]
! Cs3Ba3TcO8, relaxed, DFT GGA-PBE; values from VASP
&SYSTEM
  ibrav = 0, nat = 15, ntyp = 4
/
ATOMIC_SPECIES
Cs 132.91 Cs.upf
Ba 137.33 Ba.upf
Tc 98.00 Tc.upf
O 16.00 O.upf
ATOMIC_POSITIONS crystal
Cs 0.0000 0.0000 0.0000
Cs 0.0000 0.5000 0.0000
Cs 0.5000 0.5000 0.0000
Ba 0.5000 0.0000 0.5000
Ba 0.5000 0.5000 0.5000
Ba 0.0000 0.5000 0.5000
Tc 0.0000 0.0000 0.5000
O 0.2694 0.5388 0.3083
O 0.7306 0.4612 0.6917
O 0.8273 0.6546 0.3419
O 0.1727 0.3454 0.6581
O 0.8273 0.0146 0.3419
O 0.1727 0.9854 0.6581
O 0.1873 0.0146 0.3419
O 0.8127 0.9854 0.6581
CELL_PARAMETERS angstrom
-6.6162 2.9853 2.5547
0.3040 -3.3011 -6.9443
0.3447 -4.8860 6.6022
! Calculated total energy ... -5.736 eV per atom



[3]
! RbCaInI6, relaxed, DFT GGA-PBE; values from VASP
&SYSTEM
  ibrav = 0, nat = 18, ntyp = 4
/
ATOMIC_SPECIES
Rb 85.47 Rb.upf
Ca 40.08 Ca.upf
In 114.82 In.upf
I 126.90 I.upf
ATOMIC_POSITIONS crystal
Rb 0.0000 0.0000 0.0000
Rb 0.0000 0.0000 0.5000
Ca 0.3333 0.6667 0.2500
Ca 0.6667 0.3333 0.7500
In 0.6667 0.3333 0.2500
In 0.3333 0.6667 0.7500
I 0.6390 0.6222 0.1426
I 0.9831 0.3610 0.1426
I 0.3610 0.9831 0.6426
I 0.0169 0.6390 0.8574
I 0.3778 0.3610 0.3574
I 0.9831 0.6222 0.3574
I 0.6222 0.9831 0.8574
I 0.6390 0.0169 0.3574
I 0.0169 0.3778 0.6426
I 0.3778 0.0169 0.1426
I 0.6222 0.6390 0.6426
I 0.3610 0.3778 0.8574
CELL_PARAMETERS angstrom
-6.8284 4.0243 -0.0420
1.5631 -5.0920 5.8696
6.9972 11.9616 8.5136
! N(E_F) ... 0.00 states/eV per cell
! Calculated total energy ... -2.742 eV per atom



[4]
! NpAgBi, relaxed, DFT GGA-PBE; values from VASP
&SYSTEM
  ibrav = 0, nat = 3, ntyp = 3
/
ATOMIC_SPECIES
Np 237.00 Np.upf
Bi 208.98 Bi.upf
Ag 107.87 Ag.upf
ATOMIC_POSITIONS crystal
Np 0.3435 0.3435 0.6870
Bi 0.6557 0.6557 0.3114
Ag 0.0008 0.0008 0.0015
CELL_PARAMETERS angstrom
-1.7903 -2.4693 2.0487
2.9948 -2.1281 0.0522
1.1873 4.9332 3.6886
! ΔH_f (0 K) ... 0.28 eV/atom
! N(E_F) ... 9.84 states/eV per cell
! Calculated total energy ... -6.276 eV per atom



[5]
! Nd8TePb2, relaxed, DFT GGA-PBE; values from VASP
&SYSTEM
  ibrav = 0, nat = 11, ntyp = 3
/
ATOMIC_SPECIES
Nd 144.24 Nd.upf
Te 127.60 Te.upf
Pb 207.20 Pb.upf
ATOMIC_POSITIONS crystal
Nd 0.4016 0.4798 0.8032
Nd 0.6629 0.0473 0.3258
Nd 0.7843 0.6387 0.5685
Nd 0.0052 0.2525 0.0103
Nd 0.2157 0.3613 0.4315
Nd 0.3371 0.9527 0.6742
Nd 0.5984 0.5202 0.1968
Nd 0.9949 0.7475 0.9897
Te 0.5000 0.0000 0.0000
Pb 0.8276 0.2213 0.6552
Pb 0.1724 0.7787 0.3448
CELL_PARAMETERS angstrom
-1.5193 -0.0987 -4.6560
-6.9991 -2.8805 2.3450
-2.3062 9.0229 3.1383
! N(E_F) ... 14.16 states/eV per cell
! Calculated total energy ... -4.850 eV per atom



[6]
! TcRuS2N, relaxed, DFT GGA-PBE; values from VASP
&SYSTEM
  ibrav = 0, nat = 5, ntyp = 4
/
ATOMIC_SPECIES
Ru 101.07 Ru.upf
S 32.06 S.upf
Tc 98.00 Tc.upf
N 14.01 N.upf
ATOMIC_POSITIONS crystal
Ru 0.0000 0.0000 0.0000
S 0.0000 0.5000 0.0000
S 0.5000 0.0000 0.0000
Tc 0.5000 0.5000 0.5000
N 0.0000 0.0000 0.5000
CELL_PARAMETERS angstrom
4.8045 0.0000 0.0000
0.0000 4.8045 0.0000
0.0000 0.0000 3.6327
! Distance to the lowest polymorph of the same formula ... 0 meV/atom
! N(E_F) ... 2.08 states/eV per cell
! Calculated total energy ... -6.411 eV per atom



[7]
! MnReS2, relaxed, DFT GGA-PBE; values from VASP
&SYSTEM
  ibrav = 0, nat = 4, ntyp = 3
/
ATOMIC_SPECIES
Re 186.21 Re.upf
S 32.06 S.upf
Mn 54.94 Mn.upf
ATOMIC_POSITIONS crystal
Re 0.0000 0.0000 0.0000
S 0.8993 0.8993 0.8993
S 0.1007 0.1007 0.1007
Mn 0.5000 0.5000 0.5000
CELL_PARAMETERS angstrom
1.7190 0.0000 7.5539
-0.8595 1.4887 7.5539
-0.8595 -1.4887 7.5539
! Distance to the lowest polymorph of the same formula ... 0 meV/atom
! N(E_F) ... 3.12 states/eV per cell
! Calculated total energy ... -7.493 eV per atom



[8]
! HoZrSc2Rh4, relaxed, DFT GGA-PBE; values from VASP
&SYSTEM
  ibrav = 0, nat = 8, ntyp = 4
/
ATOMIC_SPECIES
Ho 164.93 Ho.upf
Zr 91.22 Zr.upf
Sc 44.96 Sc.upf
Rh 102.91 Rh.upf
ATOMIC_POSITIONS crystal
Ho 0.0000 0.0000 0.0000
Zr 0.5000 0.5000 0.5000
Sc 0.7506 0.7506 0.7482
Sc 0.2494 0.2494 0.2518
Rh 0.3789 0.3789 0.8632
Rh 0.8713 0.8713 0.3860
Rh 0.1287 0.1287 0.6140
Rh 0.6211 0.6211 0.1368
CELL_PARAMETERS angstrom
-4.1003 0.1832 2.2079
-0.2741 -1.1587 4.5059
-0.0847 6.9272 4.1865
! ΔH_f (0 K) ... -0.93 eV/atom
! N(E_F) ... 4.62 states/eV per cell
! Calculated total energy ... -7.824 eV per atom